An optimized crystal structure of MnInN2O. Source: Alexandria, functional PBE+U.

Structure (CIF):
```
data_MnInN2O
_symmetry_space_group_name_H-M 'P 1'
_symmetry_Int_Tables_number 1
_symmetry_space_group_name_Hall 'P 1'
_cell_length_a 4.251
_cell_length_b 4.251
_cell_length_c 4.202
_cell_angle_alpha 90.00
_cell_angle_beta 90.00
_cell_angle_gamma 90.00
loop_
_atom_site_label
_atom_site_type_symbol
_atom_site_fract_x
_atom_site_fract_y
_atom_site_fract_z
_atom_site_occupancy
Mn1 Mn 0.000 0.000 0.000 1
In1 In 0.500 0.500 0.500 1
N1 N 0.000 0.500 0.500 1
N2 N 0.500 0.000 0.500 1
O1 O 0.500 0.500 0.000 1
```

- raw total energy (eV/atom) = -5.30
- calculated volume (Å³/atom) = 15.19
- M_tot (Bohr magnetons per cell) = 7.917